Entry from the Alexandria database: Co2NiIr at its PBEsol-relaxed geometry (meta-GGA SCAN).

Summary:
- Energy relative to the elements: -0.005 eV/atom
- Energy: -30.475 eV/atom

Lattice parameters (Å, degrees): 3.5740 3.5740 4.3660 114.16 114.16 90.00
Each line ends with the local moment (μB).
Fractional coordinates of all 4 atoms:
Ni  0.2500  0.7500  0.5000  0.76
Ir  0.0000  0.0000  0.0000  0.78
Co  0.5000  0.5000  0.0000  1.94
Co  0.7500  0.2500  0.5000  1.95